# 1
HoIn2P2Pd7 | PBE-GGA | relaxed

DFT total energy: -5.312 eV per atom

abc: 4.027 4.027 13.750
angles: 98.43 98.43 89.87
Element x y z (fractional)
Ho 0.000 0.000 0.000
In 0.273 0.273 0.382
In 0.727 0.727 0.618
P 0.368 0.368 0.746
P 0.632 0.632 0.254
Pd 0.080 0.576 0.160
Pd 0.207 0.207 0.576
Pd 0.424 0.920 0.840
Pd 0.500 0.500 0.000
Pd 0.576 0.080 0.160
Pd 0.793 0.793 0.424
Pd 0.920 0.424 0.840



# 2
SbSeN2 | PBE-GGA | relaxed

E above lowest polymorph: 0.428 eV/atom
raw formation energy: 4.40 eV per formula unit

abc: 6.983 6.983 6.983
angles: 26.49 26.49 26.49
Element x y z (fractional)
Sb 0.000 0.000 0.000
Se 0.500 0.500 0.500
N 0.111 0.111 0.111
N 0.889 0.889 0.889



# 3
Sr3HfPa2As6 | PBE-GGA | relaxed

DFT total energy: -6.289 eV per atom

abc: 7.210 7.210 7.512
angles: 99.22 99.22 120.01
Element x y z (fractional)
Sr 0.000 0.000 0.000
Sr 0.332 0.668 0.000
Sr 0.668 0.332 0.000
Hf 0.500 0.500 0.500
Pa 0.166 0.834 0.500
Pa 0.834 0.166 0.500
As 0.102 0.428 0.285
As 0.247 0.247 0.717
As 0.428 0.102 0.285
As 0.572 0.898 0.715
As 0.753 0.753 0.283
As 0.898 0.572 0.715



# 4
LaEr3Hg4 | PBE-GGA | relaxed

DFT total energy: -2.946 eV per atom

abc: 5.249 5.249 7.653
angles: 90.00 90.00 90.00
Element x y z (fractional)
La 0.000 0.000 0.000
Er 0.000 0.000 0.500
Er 0.500 0.500 0.000
Er 0.500 0.500 0.500
Hg 0.000 0.500 0.266
Hg 0.000 0.500 0.734
Hg 0.500 0.000 0.266
Hg 0.500 0.000 0.734



# 5
Ac6Mg23Hg | PBE-GGA | relaxed

DFT total energy: -2.168 eV per atom

abc: 10.591 10.591 10.591
angles: 60.00 60.00 60.00
Element x y z (fractional)
Ac 0.217 0.217 0.783
Ac 0.217 0.783 0.217
Ac 0.217 0.783 0.783
Ac 0.783 0.217 0.217
Ac 0.783 0.217 0.783
Ac 0.783 0.783 0.217
Mg 0.000 0.000 0.500
Mg 0.000 0.500 0.000
Mg 0.000 0.500 0.500
Mg 0.128 0.624 0.624
Mg 0.173 0.173 0.173
Mg 0.173 0.173 0.480
Mg 0.173 0.480 0.173
Mg 0.376 0.376 0.376
Mg 0.376 0.376 0.872
Mg 0.376 0.872 0.376
Mg 0.480 0.173 0.173
Mg 0.500 0.000 0.000
Mg 0.500 0.000 0.500
Mg 0.500 0.500 0.000
Mg 0.500 0.500 0.500
Mg 0.520 0.827 0.827
Mg 0.624 0.128 0.624
Mg 0.624 0.624 0.128
Mg 0.624 0.624 0.624
Mg 0.827 0.520 0.827
Mg 0.827 0.827 0.520
Mg 0.827 0.827 0.827
Mg 0.872 0.376 0.376
Hg 0.000 0.000 0.000



# 6
KCaZnP2 | PBE-GGA | relaxed

DFT total energy: -2.881 eV per atom

abc: 4.957 4.957 5.001
angles: 90.00 90.00 90.00
Element x y z (fractional)
K 0.000 0.000 0.000
Ca 0.500 0.500 0.000
Zn 0.000 0.000 0.500
P 0.000 0.500 0.500
P 0.500 0.000 0.500



# 7
NdOsPb2O8 | PBE-GGA | relaxed

raw formation energy: -16.82 eV per formula unit

abc: 5.195 6.871 5.210
angles: 90.00 91.14 90.00
Element x y z (fractional)
Nd 0.000 0.000 0.000
Os 0.000 0.500 0.000
Pb 0.500 0.254 0.500
Pb 0.500 0.746 0.500
O 0.174 0.293 0.187
O 0.174 0.707 0.187
O 0.259 0.500 0.760
O 0.319 0.000 0.691
O 0.681 0.000 0.309
O 0.741 0.500 0.240
O 0.826 0.293 0.813
O 0.826 0.707 0.813



# 8
CaMnTc2 | PBE-GGA | relaxed

E above lowest polymorph: 0.308 eV/atom

abc: 3.197 4.448 4.680
angles: 90.00 90.00 90.00
Element x y z (fractional)
Ca 0.000 0.000 0.000
Mn 0.500 0.500 0.000
Tc 0.000 0.500 0.500
Tc 0.500 0.000 0.500



# 9
CaSi2Ni | PBE-GGA | relaxed

raw formation energy: -1.09 eV per formula unit

abc: 3.554 3.668 5.679
angles: 90.00 90.00 90.00
Element x y z (fractional)
Ca 0.000 0.000 0.000
Si 0.000 0.500 0.443
Si 0.500 0.500 0.728
Ni 0.500 0.000 0.487



# 10
Cu3As | PBE-GGA | relaxed

DFT total energy: -4.174 eV per atom

abc: 7.045 7.045 7.606
angles: 90.00 90.00 120.00
Element x y z (fractional)
Cu 0.000 0.000 0.000
Cu 0.000 0.000 0.500
Cu 0.064 0.391 0.417
Cu 0.064 0.672 0.917
Cu 0.328 0.391 0.917
Cu 0.328 0.936 0.417
Cu 0.333 0.667 0.159
Cu 0.333 0.667 0.659
Cu 0.391 0.064 0.083
Cu 0.391 0.328 0.583
Cu 0.609 0.672 0.417
Cu 0.609 0.936 0.917
Cu 0.667 0.333 0.341
Cu 0.667 0.333 0.841
Cu 0.672 0.064 0.583
Cu 0.672 0.609 0.083
Cu 0.936 0.328 0.083
Cu 0.936 0.609 0.583
As 0.000 0.305 0.750
As 0.000 0.695 0.250
As 0.305 0.000 0.750
As 0.305 0.305 0.250
As 0.695 0.000 0.250
As 0.695 0.695 0.750



# 11
Ce5Sb2IrC | PBE-GGA | relaxed

raw formation energy: -5.34 eV per formula unit

abc: 4.691 4.691 11.096
angles: 90.00 90.00 90.00
Element x y z (fractional)
Ce 0.000 0.000 0.000
Ce 0.000 0.500 0.500
Ce 0.500 0.000 0.500
Ce 0.500 0.500 0.235
Ce 0.500 0.500 0.765
Sb 0.000 0.000 0.290
Sb 0.000 0.000 0.710
Ir 0.500 0.500 0.000
C 0.500 0.500 0.500



# 12
CdSn2Au | PBE-GGA | relaxed

DFT total energy: -3.120 eV per atom

abc: 4.340 8.868 5.321
angles: 90.00 106.30 90.00
Element x y z (fractional)
Cd 0.054 0.250 0.120
Cd 0.946 0.750 0.880
Sn 0.312 0.048 0.724
Sn 0.312 0.452 0.724
Sn 0.688 0.548 0.276
Sn 0.688 0.952 0.276
Au 0.287 0.750 0.467
Au 0.713 0.250 0.533



# 13
Ti6ZnSn2 | PBE-GGA | relaxed

DFT total energy: -6.362 eV per atom

abc: 6.074 6.074 5.130
angles: 90.16 90.16 59.83
Element x y z (fractional)
Ti 0.132 0.683 0.809
Ti 0.315 0.315 0.192
Ti 0.317 0.868 0.191
Ti 0.683 0.132 0.809
Ti 0.685 0.685 0.808
Ti 0.868 0.317 0.191
Zn 0.500 0.500 0.500
Sn 0.166 0.166 0.696
Sn 0.834 0.834 0.304



# 14
Ca2AlMo | PBE-GGA | relaxed

DFT total energy: -4.064 eV per atom

abc: 10.534 10.534 10.534
angles: 17.55 17.55 17.55
Element x y z (fractional)
Ca 0.247 0.247 0.247
Ca 0.753 0.753 0.753
Al 0.000 0.000 0.000
Mo 0.500 0.500 0.500



# 15
BaBN2 | PBE-GGA | relaxed

raw formation energy: 6.33 eV per formula unit

abc: 6.790 6.790 6.790
angles: 25.84 25.84 25.84
Element x y z (fractional)
Ba 0.000 0.000 0.000
B 0.500 0.500 0.500
N 0.128 0.128 0.128
N 0.872 0.872 0.872



# 16
K12Au3I5 | PBE-GGA | relaxed

raw formation energy: -14.14 eV per formula unit

abc: 17.694 17.694 17.694
angles: 109.47 109.47 109.47
Element x y z (fractional)
K 0.062 0.229 0.140
K 0.062 0.333 0.922
K 0.078 0.640 0.411
K 0.078 0.938 0.667
K 0.089 0.729 0.667
K 0.089 0.860 0.422
K 0.140 0.062 0.229
K 0.140 0.578 0.911
K 0.167 0.229 0.589
K 0.167 0.438 0.578
K 0.229 0.140 0.062
K 0.229 0.589 0.167
K 0.271 0.333 0.911
K 0.271 0.438 0.360
K 0.333 0.911 0.271
K 0.333 0.922 0.062
K 0.360 0.271 0.438
K 0.360 0.589 0.922
K 0.411 0.078 0.640
K 0.411 0.833 0.771
K 0.422 0.089 0.860
K 0.422 0.833 0.562
K 0.438 0.360 0.271
K 0.438 0.578 0.167
K 0.562 0.422 0.833
K 0.562 0.640 0.729
K 0.578 0.167 0.438
K 0.578 0.911 0.140
K 0.589 0.167 0.229
K 0.589 0.922 0.360
K 0.640 0.411 0.078
K 0.640 0.729 0.562
K 0.667 0.078 0.938
K 0.667 0.089 0.729
K 0.729 0.562 0.640
K 0.729 0.667 0.089
K 0.771 0.411 0.833
K 0.771 0.860 0.938
K 0.833 0.562 0.422
K 0.833 0.771 0.411
K 0.860 0.422 0.089
K 0.860 0.938 0.771
K 0.911 0.140 0.578
K 0.911 0.271 0.333
K 0.922 0.062 0.333
K 0.922 0.360 0.589
K 0.938 0.667 0.078
K 0.938 0.771 0.860
Au 0.125 0.250 0.375
Au 0.125 0.375 0.750
Au 0.250 0.375 0.125
Au 0.250 0.875 0.625
Au 0.375 0.125 0.250
Au 0.375 0.750 0.125
Au 0.625 0.250 0.875
Au 0.625 0.875 0.750
Au 0.750 0.125 0.375
Au 0.750 0.625 0.875
Au 0.875 0.625 0.250
Au 0.875 0.750 0.625
I 0.000 0.000 0.000
I 0.000 0.000 0.500
I 0.000 0.500 0.000
I 0.000 0.500 0.500
I 0.125 0.750 0.875
I 0.125 0.875 0.250
I 0.250 0.125 0.875
I 0.250 0.625 0.375
I 0.375 0.250 0.625
I 0.375 0.625 0.750
I 0.500 0.000 0.000
I 0.500 0.000 0.500
I 0.500 0.500 0.000
I 0.500 0.500 0.500
I 0.625 0.375 0.250
I 0.625 0.750 0.375
I 0.750 0.375 0.625
I 0.750 0.875 0.125
I 0.875 0.125 0.750
I 0.875 0.250 0.125



# 17
CaCo4P | PBE-GGA | relaxed

DFT total energy: -5.796 eV per atom

abc: 4.906 4.906 4.906
angles: 60.00 60.00 60.00
Element x y z (fractional)
Ca 0.000 0.000 0.000
Co 0.127 0.624 0.624
Co 0.624 0.127 0.624
Co 0.624 0.624 0.127
Co 0.624 0.624 0.624
P 0.250 0.250 0.250



# 18
Pm2MgAl3Pt4 | PBE-GGA | relaxed

DFT total energy: -5.697 eV per atom

abc: 4.312 4.312 10.501
angles: 90.00 90.00 90.00
Element x y z (fractional)
Pm 0.000 0.500 0.242
Pm 0.500 0.000 0.758
Mg 0.000 0.000 0.500
Al 0.000 0.500 0.877
Al 0.500 0.000 0.123
Al 0.500 0.500 0.500
Pt 0.000 0.000 0.000
Pt 0.000 0.500 0.641
Pt 0.500 0.000 0.359
Pt 0.500 0.500 0.000



# 19
Pr3Mg2Pt3 | PBE-GGA | relaxed

DFT total energy: -5.344 eV per atom

abc: 8.616 8.616 5.945
angles: 90.00 90.00 120.00
Element x y z (fractional)
Pr 0.000 0.272 0.250
Pr 0.000 0.728 0.750
Pr 0.272 0.000 0.250
Pr 0.272 0.272 0.750
Pr 0.728 0.000 0.750
Pr 0.728 0.728 0.250
Mg 0.333 0.667 0.000
Mg 0.333 0.667 0.500
Mg 0.667 0.333 0.000
Mg 0.667 0.333 0.500
Pt 0.000 0.392 0.750
Pt 0.000 0.608 0.250
Pt 0.392 0.000 0.750
Pt 0.392 0.392 0.250
Pt 0.608 0.000 0.250
Pt 0.608 0.608 0.750



Number 1: calculated volume 18.18 Å³ per atom, size of the total moment 0.00 μB per formula unit. Number 2: calculated volume 14.93 Å³ per atom, size of the total moment 0.00 μB per formula unit. Number 3: calculated volume 26.70 Å³ per atom, size of the total moment 0.01 μB per formula unit. Number 4: calculated volume 26.36 Å³ per atom, size of the total moment 0.53 μB per formula unit. Number 5: calculated volume 28.00 Å³ per atom, size of the total moment 0.00 μB per formula unit. Number 6: calculated volume 24.58 Å³ per atom, size of the total moment 0.00 μB per formula unit. Number 7: calculated volume 15.50 Å³ per atom, size of the total moment 0.00 μB per formula unit. Number 8: calculated volume 16.64 Å³ per atom, size of the total moment 3.14 μB per formula unit. Number 9: calculated volume 18.51 Å³ per atom, size of the total moment 0.00 μB per formula unit. Number 10: calculated volume 13.62 Å³ per atom, size of the total moment 0.00 μB per formula unit. Number 11: calculated volume 27.13 Å³ per atom, size of the total moment 4.03 μB per formula unit. Number 12: calculated volume 24.57 Å³ per atom, size of the total moment 0.00 μB per formula unit. Number 13: calculated volume 18.18 Å³ per atom, size of the total moment 0.00 μB per formula unit. Number 14: calculated volume 23.19 Å³ per atom, size of the total moment 0.00 μB per formula unit. Number 15: calculated volume 13.09 Å³ per atom, size of the total moment 0.64 μB per formula unit. Number 16: calculated volume 53.31 Å³ per atom, size of the total moment 0.00 μB per formula unit. Number 17: calculated volume 13.92 Å³ per atom, size of the total moment 7.02 μB per formula unit. Number 18: calculated volume 19.53 Å³ per atom, size of the total moment 0.00 μB per formula unit. Number 19: calculated volume 23.88 Å³ per atom, size of the total moment 0.00 μB per formula unit.